(1)
Cs3TaFe: relaxed, PBE-GGA.

Cell: 6.615 6.615 6.615 Å, 90.00 90.00 90.00°
Last column: magnetic moment on the atom in μB.
Element x y z (fractional)
Fe  0.000  0.000  0.000  2.78
Cs  0.500  0.000  0.000  0.02
Cs  0.000  0.000  0.500  0.02
Cs  0.000  0.500  0.000  0.02
Ta  0.500  0.500  0.500  2.40

Properties
* theoretical density: 3.6 Mg/m³
* V: 57.89 A^3/atom
* ΔE_f: 1.9254 eV per atom
* SG: Pm-3m, No. 221
* size of the total moment: 7.304 Bohr magnetons per cell

***

(2)
ZnPRu2: relaxed, PBE-GGA.

Cell: 6.823 6.823 5.482 Å, 51.51 51.51 90.00°
Element x y z (fractional)
Zn  0.000  0.000  0.000
Zn  0.750  0.250  0.500
Ru  0.875  0.806  0.750
Ru  0.556  0.125  0.250
Ru  0.194  0.625  0.250
Ru  0.375  0.444  0.750
P  0.500  0.500  0.000
P  0.250  0.750  0.500

Properties
* theoretical density: 8.2 Mg/m³
* V: 15.15 A^3/atom
* ΔE_f: 0.0232 eV per atom
* SG: I-42d, No. 122
* size of the total moment: 0.000 Bohr magnetons per cell
* excess energy over the best structure of this formula in the dataset: 0.280 eV per atom

***

(3)
ZrCrIr2: relaxed, PBE-GGA.

Cell: 2.851 2.851 7.565 Å, 90.00 90.00 90.00°
Element x y z (fractional)
Ir  0.000  0.000  0.536
Ir  0.000  0.000  0.964
Zr  0.500  0.500  0.250
Cr  0.500  0.500  0.750

Properties
* theoretical density: 14.2 Mg/m³
* V: 15.38 A^3/atom
* ΔE_f: -0.3870 eV per atom
* SG: P4/mmm, No. 123
* size of the total moment: 0.001 Bohr magnetons per cell
* excess energy over the best structure of this formula in the dataset: 0.100 eV per atom

***

(4)
PrYHg4: relaxed, PBE-GGA.

Cell: 6.007 6.007 6.007 Å, 60.00 60.00 60.00°
Element x y z (fractional)
Hg  0.125  0.625  0.625
Hg  0.625  0.125  0.625
Hg  0.625  0.625  0.125
Hg  0.625  0.625  0.625
Pr  0.250  0.250  0.250
Y  0.000  0.000  0.000

Properties
* theoretical density: 11.2 Mg/m³
* V: 25.54 A^3/atom
* ΔE_f: -0.2521 eV per atom
* SG: F-43m, No. 216
* size of the total moment: 0.000 Bohr magnetons per cell
* excess energy over the best structure of this formula in the dataset: 0.106 eV per atom